Record 1
Below is HoLuCu2 after structural relaxation, with properties calculated at the GGA-PBEsol level.

Unit cell a=4.747 b=4.747 c=4.747 alpha=60.00 beta=60.00 gamma=60.00
Atoms (fractional coordinates):
Cu: 0.250 0.250 0.250
Cu: 0.750 0.750 0.750
Lu: 0.000 0.000 0.000
Ho: 0.500 0.500 0.500

Summary:
Calculated volume (Å³ per cell): 75.6
Uncorrected energy (eV/atom): -4.895
M_tot (μB per formula unit): 0.00
SG: Fm-3m, No. 225
Mass density (g/cm3): 10.25



Record 2
Below is Ho2MgCu2 after structural relaxation, with properties calculated at the GGA-PBEsol level.

Unit cell a=3.556 b=7.528 c=7.528 alpha=90.00 beta=90.00 gamma=90.00
Atoms (fractional coordinates):
Ho: 0.500 0.331 0.831
Ho: 0.500 0.669 0.169
Ho: 0.500 0.831 0.669
Ho: 0.500 0.169 0.331
Cu: 0.000 0.623 0.877
Cu: 0.000 0.377 0.123
Cu: 0.000 0.877 0.377
Cu: 0.000 0.123 0.623
Mg: 0.000 0.000 0.000
Mg: 0.000 0.500 0.500

Summary:
Calculated volume (Å³ per cell): 201.5
Uncorrected energy (eV/atom): -4.292
M_tot (μB per formula unit): 0.00
SG: P4/mbm, No. 127
Mass density (g/cm3): 7.93